Version one
Entry from OQMD: an optimized crystal structure of PaNbSn (PBE).

Cell: 4.7614 4.7614 4.7614 Å, 60.00 60.00 60.00°
Sites, in units of the cell vectors:
Pa1 0.0000 0.0000 0.0000
Nb1 0.2500 0.2500 0.2500
Sn1 0.5000 0.5000 0.5000

## Properties
The space group is F-43m. The size of the total moment comes out at 0.001 μB per atom.

Version two
Entry from OQMD: an optimized crystal structure of PaNbSn (PBE).

Cell: 4.8948 4.8948 4.8948 Å, 60.00 60.00 60.00°
Sites, in units of the cell vectors:
Pa1 0.0000 0.0000 0.0000
Nb1 0.7500 0.7500 0.7500
Sn1 0.2500 0.2500 0.2500

## Properties
The space group is F-43m. The size of the total moment comes out at 0.070 μB per atom.

Quick one: least stable of them? version two